# 1
Entry from the Alexandria database: an optimized crystal structure of ReHgCl2 (GGA-PBE).

SG: I4/mmm (139)
E_form (uncorrected): 103.6 kJ/mol of atoms
density of states at the Fermi level: 1.95 states/eV per cell
ΔE to the lowest computed polymorph: 1015 meV/atom

The structure in CIF format:
```
data_ReHgCl2
_cell_length_a 5.267
_cell_length_b 5.267
_cell_length_c 5.267
_cell_angle_alpha 130.01
_cell_angle_beta 130.01
_cell_angle_gamma 73.40
_space_group_name_H-M_alt 'P 1'
_space_group_IT_number 1
loop_
_space_group_symop_operation_xyz
'x,y,z'
loop_
_atom_site_label
_atom_site_fract_x
_atom_site_fract_y
_atom_site_fract_z
Cl1 0.500 0.500 0.000
Cl2 0.000 0.000 0.000
Re1 0.750 0.250 0.500
Hg1 0.250 0.750 0.500
```

---

# 2
Entry from the Alexandria database: an optimized crystal structure of ReHgCl2 (GGA-PBE).

SG: P4/mmm (123)
E_form (uncorrected): 105.3 kJ/mol of atoms
density of states at the Fermi level: 2.95 states/eV per cell
ΔE to the lowest computed polymorph: 1033 meV/atom

The structure in CIF format:
```
data_ReHgCl2
_cell_length_a 5.325
_cell_length_b 5.325
_cell_length_c 3.177
_cell_angle_alpha 90.00
_cell_angle_beta 90.00
_cell_angle_gamma 90.00
_space_group_name_H-M_alt 'P 1'
_space_group_IT_number 1
loop_
_space_group_symop_operation_xyz
'x,y,z'
loop_
_atom_site_label
_atom_site_fract_x
_atom_site_fract_y
_atom_site_fract_z
Re1 0.000 0.500 0.500
Cl1 0.500 0.500 0.000
Cl2 0.000 0.000 0.000
Hg1 0.500 0.000 0.500
```

---

# 3
Entry from the Alexandria database: an optimized crystal structure of ReHgCl2 (GGA-PBE).

SG: I-4m2 (119)
E_form (uncorrected): 102.8 kJ/mol of atoms
density of states at the Fermi level: 1.25 states/eV per cell
ΔE to the lowest computed polymorph: 1007 meV/atom

The structure in CIF format:
```
data_ReHgCl2
_cell_length_a 4.999
_cell_length_b 4.999
_cell_length_c 4.999
_cell_angle_alpha 120.13
_cell_angle_beta 120.13
_cell_angle_gamma 89.78
_space_group_name_H-M_alt 'P 1'
_space_group_IT_number 1
loop_
_space_group_symop_operation_xyz
'x,y,z'
loop_
_atom_site_label
_atom_site_fract_x
_atom_site_fract_y
_atom_site_fract_z
Hg1 0.500 0.500 0.000
Re1 0.750 0.250 0.500
Cl1 0.250 0.750 0.500
Cl2 0.000 0.000 0.000
```

---

# 4
Entry from the Alexandria database: an optimized crystal structure of ReHg2Cl (GGA-PBE).

SG: Cmmm (65)
E_form (uncorrected): 65.3 kJ/mol of atoms
density of states at the Fermi level: 2.29 states/eV per cell
ΔE to the lowest computed polymorph: 248 meV/atom

The structure in CIF format:
```
data_ReHg2Cl
_cell_length_a 3.174
_cell_length_b 3.174
_cell_length_c 9.276
_cell_angle_alpha 90.00
_cell_angle_beta 90.00
_cell_angle_gamma 120.11
_space_group_name_H-M_alt 'P 1'
_space_group_IT_number 1
loop_
_space_group_symop_operation_xyz
'x,y,z'
loop_
_atom_site_label
_atom_site_fract_x
_atom_site_fract_y
_atom_site_fract_z
Hg1 0.000 0.000 0.497
Hg2 0.000 0.000 0.003
Re1 0.500 0.500 0.250
Cl1 0.500 0.500 0.750
```

---

# 5
Entry from the Alexandria database: an optimized crystal structure of ReHg2Cl (GGA-PBE).

SG: Amm2 (38)
E_form (uncorrected): 43.4 kJ/mol of atoms
density of states at the Fermi level: 1.73 states/eV per cell
ΔE to the lowest computed polymorph: 20 meV/atom

The structure in CIF format:
```
data_ReHg2Cl
_cell_length_a 2.962
_cell_length_b 4.726
_cell_length_c 7.450
_cell_angle_alpha 71.50
_cell_angle_beta 90.00
_cell_angle_gamma 90.00
_space_group_name_H-M_alt 'P 1'
_space_group_IT_number 1
loop_
_space_group_symop_operation_xyz
'x,y,z'
loop_
_atom_site_label
_atom_site_fract_x
_atom_site_fract_y
_atom_site_fract_z
Re1 0.000 0.724 0.427
Hg1 0.000 0.922 0.032
Hg2 0.500 0.262 0.352
Cl1 0.500 0.593 0.689
```

---

# 6
Entry from the Alexandria database: an optimized crystal structure of ReHgCl2 (GGA-PBE).

SG: Fm-3m (225)
E_form (uncorrected): 105.4 kJ/mol of atoms
density of states at the Fermi level: 1.68 states/eV per cell
ΔE to the lowest computed polymorph: 1033 meV/atom

The structure in CIF format:
```
data_ReHgCl2
_cell_length_a 5.075
_cell_length_b 5.075
_cell_length_c 5.075
_cell_angle_alpha 60.00
_cell_angle_beta 60.00
_cell_angle_gamma 60.00
_space_group_name_H-M_alt 'P 1'
_space_group_IT_number 1
loop_
_space_group_symop_operation_xyz
'x,y,z'
loop_
_atom_site_label
_atom_site_fract_x
_atom_site_fract_y
_atom_site_fract_z
Re1 0.000 0.000 0.000
Cl1 0.250 0.250 0.250
Cl2 0.750 0.750 0.750
Hg1 0.500 0.500 0.500
```

---

# 7
Entry from the Alexandria database: an optimized crystal structure of ReHg2Cl (GGA-PBE).

SG: P4/mmm (123)
E_form (uncorrected): 68.3 kJ/mol of atoms
density of states at the Fermi level: 2.00 states/eV per cell
ΔE to the lowest computed polymorph: 278 meV/atom

The structure in CIF format:
```
data_ReHg2Cl
_cell_length_a 3.132
_cell_length_b 3.132
_cell_length_c 8.258
_cell_angle_alpha 90.00
_cell_angle_beta 90.00
_cell_angle_gamma 90.00
_space_group_name_H-M_alt 'P 1'
_space_group_IT_number 1
loop_
_space_group_symop_operation_xyz
'x,y,z'
loop_
_atom_site_label
_atom_site_fract_x
_atom_site_fract_y
_atom_site_fract_z
Cl1 0.500 0.500 0.750
Re1 0.500 0.500 0.250
Hg1 0.000 0.000 0.479
Hg2 0.000 0.000 0.021
```

---

# 8
Entry from the Alexandria database: an optimized crystal structure of ReHg2Cl (GGA-PBE).

SG: Cmm2 (35)
E_form (uncorrected): 42.7 kJ/mol of atoms
density of states at the Fermi level: 3.00 states/eV per cell
ΔE to the lowest computed polymorph: 13 meV/atom

The structure in CIF format:
```
data_ReHg2Cl
_cell_length_a 3.078
_cell_length_b 3.078
_cell_length_c 11.127
_cell_angle_alpha 90.00
_cell_angle_beta 90.00
_cell_angle_gamma 123.50
_space_group_name_H-M_alt 'P 1'
_space_group_IT_number 1
loop_
_space_group_symop_operation_xyz
'x,y,z'
loop_
_atom_site_label
_atom_site_fract_x
_atom_site_fract_y
_atom_site_fract_z
Cl1 0.500 0.500 0.680
Hg1 0.500 0.500 0.289
Hg2 0.000 0.000 0.017
Re1 0.000 0.000 0.513
```